ZnMo2Se: relaxed, PBE.

Lattice parameters (Å, degrees): 5.305 5.006 2.937 79.48 77.93 117.94
Fractional positions:
1 Mo 0.000 0.000 0.000
2 Mo 0.500 0.000 0.500
3 Se 0.000 0.500 0.500
4 Zn 0.500 0.500 0.000

## Properties
- calculated density (g/cm³) = 8.76
- E (eV per atom) = -6.183
- polymorph energy (0 for the lowest one) (eV per atom) = 0.322
- DOS at the Fermi energy (states/eV per atom) = 0.8669
- SG = No. 12

=====

Pr2Co2Ru: relaxed, PBE.

Lattice parameters (Å, degrees): 6.736 6.736 8.691 90.00 90.00 90.00
Fractional positions:
1 Pr 0.686 0.814 0.500
2 Pr 0.314 0.186 0.500
3 Pr 0.814 0.314 0.000
4 Pr 0.186 0.686 0.000
5 Pr 0.814 0.314 0.500
6 Pr 0.186 0.686 0.500
7 Pr 0.314 0.186 0.000
8 Pr 0.686 0.814 0.000
9 Co 0.380 0.880 0.250
10 Co 0.620 0.120 0.250
11 Co 0.120 0.380 0.750
12 Co 0.880 0.620 0.750
13 Co 0.880 0.620 0.250
14 Co 0.120 0.380 0.250
15 Co 0.380 0.880 0.750
16 Co 0.620 0.120 0.750
17 Ru 0.500 0.500 0.250
18 Ru 0.000 0.000 0.750
19 Ru 0.500 0.500 0.750
20 Ru 0.000 0.000 0.250

## Properties
- calculated density (g/cm³) = 8.43
- DFT formation energy (meV/atom) = 112.1
- E (eV per atom) = -6.497
- polymorph energy (0 for the lowest one) (eV per atom) = 0.164
- DOS at the Fermi energy (states/eV per atom) = 1.5909
- SG = No. 127

=====

Pm3Ga8Ru3: relaxed, PBE.

Lattice parameters (Å, degrees): 4.264 8.300 8.300 72.66 75.12 75.12
Fractional positions:
1 Pm 0.500 0.500 0.500
2 Pm 0.830 0.170 0.170
3 Pm 0.170 0.830 0.830
4 Ga 0.618 0.096 0.668
5 Ga 0.382 0.904 0.332
6 Ga 0.618 0.668 0.096
7 Ga 0.382 0.332 0.904
8 Ga 0.830 0.806 0.534
9 Ga 0.170 0.194 0.466
10 Ga 0.830 0.534 0.806
11 Ga 0.170 0.466 0.194
12 Ru 0.500 0.000 0.000
13 Ru 0.000 0.772 0.228
14 Ru 0.000 0.228 0.772

## Properties
- calculated density (g/cm³) = 8.10
- DFT formation energy (meV/atom) = -537.4
- E (eV per atom) = -5.273
- DOS at the Fermi energy (states/eV per atom) = 0.4404
- SG = No. 71

=====

Ce2TmTl3Se6: relaxed, PBE.

Lattice parameters (Å, degrees): 7.411 7.411 8.127 98.74 98.74 119.97
Fractional positions:
1 Ce 0.333 0.667 0.000
2 Ce 0.667 0.333 0.000
3 Tm 0.000 0.000 0.000
4 Tl 0.168 0.832 0.500
5 Tl 0.832 0.168 0.500
6 Tl 0.500 0.500 0.500
7 Se 0.931 0.609 0.795
8 Se 0.747 0.747 0.208
9 Se 0.069 0.391 0.205
10 Se 0.609 0.931 0.795
11 Se 0.253 0.253 0.792
12 Se 0.391 0.069 0.205

## Properties
- calculated density (g/cm³) = 6.92
- E (eV per atom) = -5.027
- DOS at the Fermi energy (states/eV per atom) = 1.1024
- SG = No. 12

=====

RbCaTa: relaxed, PBE.

Lattice parameters (Å, degrees): 13.768 4.163 4.771 90.00 80.19 90.00
Fractional positions:
1 Ca 0.612 0.250 0.445
2 Ca 0.388 0.750 0.555
3 Rb 0.153 0.250 0.172
4 Rb 0.847 0.750 0.828
5 Ta 0.443 0.250 0.028
6 Ta 0.557 0.750 0.972

## Properties
- calculated density (g/cm³) = 3.78
- DFT formation energy (meV/atom) = 652.4
- E (eV per atom) = -4.288
- polymorph energy (0 for the lowest one) (eV per atom) = 0.255
- DOS at the Fermi energy (states/eV per atom) = 0.7818
- SG = No. 11

=====

KNa5Hg2: relaxed, PBE.

Lattice parameters (Å, degrees): 4.925 8.023 8.023 74.65 72.13 72.13
Fractional positions:
1 K 0.000 0.000 0.000
2 Na 0.000 0.500 0.500
3 Na 0.661 0.525 0.154
4 Na 0.339 0.475 0.846
5 Na 0.339 0.846 0.475
6 Na 0.661 0.154 0.525
7 Hg 0.733 0.767 0.767
8 Hg 0.267 0.233 0.233

## Properties
- calculated density (g/cm³) = 3.27
- DFT formation energy (meV/atom) = -136.2
- E (eV per atom) = -1.173
- DOS at the Fermi energy (states/eV per atom) = 0.5407
- SG = No. 71

=====

Sc2ZnPd2: relaxed, PBE.

Lattice parameters (Å, degrees): 3.780 3.780 7.454 75.31 75.31 90.00
Fractional positions:
1 Sc 0.389 0.389 0.221
2 Sc 0.611 0.611 0.779
3 Zn 0.000 0.000 0.000
4 Pd 0.750 0.250 0.500
5 Pd 0.250 0.750 0.500

## Properties
- calculated density (g/cm³) = 6.15
- DFT formation energy (meV/atom) = -421.3
- E (eV per atom) = -5.286
- DOS at the Fermi energy (states/eV per atom) = 0.3985
- SG = No. 139

=====

Tm2Ga2Ni15: relaxed, PBE.

Lattice parameters (Å, degrees): 6.289 6.289 6.289 82.44 82.44 82.44
Fractional positions:
1 Tm 0.349 0.349 0.349
2 Tm 0.651 0.651 0.651
3 Ga 0.104 0.104 0.104
4 Ga 0.896 0.896 0.896
5 Ni 0.500 0.000 0.000
6 Ni 0.000 0.000 0.500
7 Ni 0.000 0.500 0.000
8 Ni 0.000 0.700 0.300
9 Ni 0.700 0.300 0.000
10 Ni 0.300 0.000 0.700
11 Ni 0.300 0.700 0.000
12 Ni 0.700 0.000 0.300
13 Ni 0.000 0.300 0.700
14 Ni 0.154 0.654 0.654
15 Ni 0.654 0.654 0.154
16 Ni 0.654 0.154 0.654
17 Ni 0.846 0.346 0.346
18 Ni 0.346 0.346 0.846
19 Ni 0.346 0.846 0.346

## Properties
- calculated density (g/cm³) = 9.29
- DFT formation energy (meV/atom) = -274.8
- E (eV per atom) = -5.628
- DOS at the Fermi energy (states/eV per atom) = 1.2949
- SG = No. 166

=====

TbCeY2Ho: relaxed, PBE.

Lattice parameters (Å, degrees): 6.691 8.166 5.902 90.74 90.00 90.00
Fractional positions:
1 Tb 0.585 0.000 0.250
2 Tb 0.415 0.000 0.750
3 Ce 0.000 0.000 0.000
4 Ce 0.000 0.000 0.500
5 Y 0.692 0.698 0.754
6 Y 0.692 0.302 0.746
7 Y 0.308 0.698 0.254
8 Y 0.308 0.302 0.246
9 Ho 0.167 0.500 0.750
10 Ho 0.833 0.500 0.250

## Properties
- calculated density (g/cm³) = 6.61
- DFT formation energy (meV/atom) = 321.3
- E (eV per atom) = -5.293
- DOS at the Fermi energy (states/eV per atom) = 2.5001
- SG = No. 13

=====

RbNa2Bi: relaxed, PBE.

Lattice parameters (Å, degrees): 5.665 5.660 8.909 55.01 71.46 59.97
Fractional positions:
1 Rb 0.500 0.250 0.750
2 Na 0.834 0.085 0.248
3 Na 0.166 0.415 0.252
4 Bi 0.500 0.750 0.250

## Properties
- calculated density (g/cm³) = 2.79
- DFT formation energy (meV/atom) = -302.0
- E (eV per atom) = -2.174
- DOS at the Fermi energy (states/eV per atom) = 0.3070
- SG = No. 12

=====

ReRuSe2: relaxed, PBE.

Lattice parameters (Å, degrees): 5.147 5.147 5.147 136.75 136.75 62.83
Fractional positions:
1 Re 0.500 0.500 0.000
2 Ru 0.750 0.250 0.500
3 Se 0.000 0.000 0.000
4 Se 0.250 0.750 0.500

## Properties
- calculated density (g/cm³) = 11.69
- E (eV per atom) = -6.396
- polymorph energy (0 for the lowest one) (eV per atom) = 0.733
- DOS at the Fermi energy (states/eV per atom) = 1.1988
- SG = No. 119

=====

Sr3CeIr8: relaxed, PBE.

Lattice parameters (Å, degrees): 5.468 5.468 9.449 73.18 73.18 60.00
Fractional positions:
1 Sr 0.374 0.374 0.877
2 Sr 0.002 0.002 0.995
3 Sr 0.498 0.498 0.505
4 Ce 0.875 0.875 0.376
5 Ir 0.931 0.438 0.193
6 Ir 0.444 0.938 0.681
7 Ir 0.438 0.438 0.193
8 Ir 0.938 0.938 0.681
9 Ir 0.188 0.188 0.437
10 Ir 0.688 0.688 0.937
11 Ir 0.438 0.931 0.193
12 Ir 0.938 0.444 0.681

## Properties
- calculated density (g/cm³) = 13.97
- DFT formation energy (meV/atom) = -408.0
- E (eV per atom) = -7.230
- DOS at the Fermi energy (states/eV per atom) = 1.2175
- SG = No. 160

=====

Pm4Sm5Dy3: relaxed, PBE.

Lattice parameters (Å, degrees): 7.224 11.429 13.027 151.29 56.36 129.26
Fractional positions:
1 Pm 0.916 0.833 0.666
2 Pm 0.833 0.667 0.834
3 Pm 0.167 0.333 0.166
4 Pm 0.084 0.167 0.334
5 Sm 0.334 0.666 0.832
6 Sm 0.500 0.000 0.500
7 Sm 0.751 0.498 0.998
8 Sm 0.249 0.502 0.002
9 Sm 0.666 0.334 0.168
10 Dy 0.582 0.166 0.333
11 Dy 0.000 0.000 0.500
12 Dy 0.418 0.834 0.667

## Properties
- calculated density (g/cm³) = 7.55
- DFT formation energy (meV/atom) = 13.3
- E (eV per atom) = -4.687
- polymorph energy (0 for the lowest one) (eV per atom) = 0.000
- DOS at the Fermi energy (states/eV per atom) = 1.3303
- SG = No. 2

=====

RbTc3Mo: relaxed, PBE.

Lattice parameters (Å, degrees): 4.569 4.569 4.569 90.00 90.00 90.00
Fractional positions:
1 Mo 0.500 0.500 0.500
2 Tc 0.000 0.500 0.000
3 Tc 0.000 0.000 0.500
4 Tc 0.500 0.000 0.000
5 Rb 0.000 0.000 0.000

## Properties
- calculated density (g/cm³) = 8.27
- DFT formation energy (meV/atom) = 3387.1
- E (eV per atom) = -5.192
- polymorph energy (0 for the lowest one) (eV per atom) = 1.630
- DOS at the Fermi energy (states/eV per atom) = 1.4418
- SG = No. 221

=====

PrP3Pd7: relaxed, PBE.

Lattice parameters (Å, degrees): 7.655 7.655 8.278 62.46 62.46 60.00
Fractional positions:
1 Pr 0.500 0.500 0.500
2 Pr 0.000 0.000 0.000
3 P 0.425 0.075 0.750
4 P 0.075 0.750 0.750
5 P 0.750 0.425 0.750
6 P 0.575 0.925 0.250
7 P 0.925 0.250 0.250
8 P 0.250 0.575 0.250
9 Pd 0.651 0.086 0.418
10 Pd 0.086 0.845 0.418
11 Pd 0.845 0.651 0.418
12 Pd 0.849 0.655 0.082
13 Pd 0.414 0.849 0.082
14 Pd 0.655 0.414 0.082
15 Pd 0.349 0.914 0.582
16 Pd 0.914 0.155 0.582
17 Pd 0.155 0.349 0.582
18 Pd 0.151 0.345 0.918
19 Pd 0.586 0.151 0.918
20 Pd 0.345 0.586 0.918
21 Pd 0.750 0.750 0.750
22 Pd 0.250 0.250 0.250

## Properties
- calculated density (g/cm³) = 9.15
- DFT formation energy (meV/atom) = -565.8
- E (eV per atom) = -5.780
- DOS at the Fermi energy (states/eV per atom) = 0.8469
- SG = No. 167

=====

Li12Zn6Pd: relaxed, PBE.

Lattice parameters (Å, degrees): 6.815 6.815 6.815 85.52 85.52 85.52
Fractional positions:
1 Li 0.474 0.202 0.507
2 Li 0.202 0.507 0.474
3 Li 0.507 0.474 0.202
4 Li 0.526 0.798 0.493
5 Li 0.798 0.493 0.526
6 Li 0.493 0.526 0.798
7 Li 0.039 0.737 0.730
8 Li 0.270 0.961 0.263
9 Li 0.263 0.270 0.961
10 Li 0.961 0.263 0.270
11 Li 0.730 0.039 0.737
12 Li 0.737 0.730 0.039
13 Zn 0.100 0.135 0.631
14 Zn 0.865 0.369 0.900
15 Zn 0.369 0.900 0.865
16 Zn 0.900 0.865 0.369
17 Zn 0.135 0.631 0.100
18 Zn 0.631 0.100 0.135
19 Pd 0.000 0.000 0.000

## Properties
- calculated density (g/cm³) = 3.08
- DFT formation energy (meV/atom) = -121.5
- E (eV per atom) = -2.006
- polymorph energy (0 for the lowest one) (eV per atom) = 0.057
- DOS at the Fermi energy (states/eV per atom) = 0.4338
- SG = No. 148

=====

TePBr2: relaxed, PBE.

Lattice parameters (Å, degrees): 10.647 10.647 10.647 18.46 18.46 18.46
Fractional positions:
1 P 0.000 0.000 0.000
2 Te 0.500 0.500 0.500
3 Br 0.925 0.925 0.925
4 Br 0.075 0.075 0.075

## Properties
- calculated density (g/cm³) = 5.00
- E (eV per atom) = -2.537
- polymorph energy (0 for the lowest one) (eV per atom) = 0.507
- DOS at the Fermi energy (states/eV per atom) = 0.6709
- SG = No. 166

=====

RuPtW2: relaxed, PBE.

Lattice parameters (Å, degrees): 4.830 4.830 4.830 132.01 132.02 70.20
Fractional positions:
1 Ru 0.250 0.750 0.500
2 W 0.000 0.000 0.000
3 W 0.500 0.500 0.000
4 Pt 0.750 0.250 0.500

## Properties
- calculated density (g/cm³) = 18.08
- DFT formation energy (meV/atom) = -171.2
- E (eV per atom) = -10.477
- polymorph energy (0 for the lowest one) (eV per atom) = 0.000
- DOS at the Fermi energy (states/eV per atom) = 0.4108
- SG = No. 139

=====

ScIrRh2: relaxed, PBE.

Lattice parameters (Å, degrees): 4.814 4.814 4.774 79.50 79.50 34.64
Fractional positions:
1 Ir 0.250 0.250 0.250
2 Rh 0.996 0.996 0.014
3 Rh 0.504 0.504 0.486
4 Sc 0.750 0.750 0.750

## Properties
- calculated density (g/cm³) = 11.92
- DFT formation energy (meV/atom) = -455.5
- E (eV per atom) = -7.929
- DOS at the Fermi energy (states/eV per atom) = 0.7597
- SG = No. 12

=====

Ho4GaTe: relaxed, PBE.

Lattice parameters (Å, degrees): 5.853 7.613 8.656 90.00 90.00 106.51
Fractional positions:
1 Ho 0.584 0.491 0.750
2 Ho 0.416 0.509 0.250
3 Ho 0.428 0.983 0.750
4 Ho 0.572 0.017 0.250
5 Ho 0.029 0.740 0.052
6 Ho 0.971 0.260 0.552
7 Ho 0.029 0.740 0.448
8 Ho 0.971 0.260 0.948
9 Ga 0.132 0.574 0.750
10 Ga 0.868 0.426 0.250
11 Te 0.897 0.909 0.750
12 Te 0.103 0.091 0.250

## Properties
- calculated density (g/cm³) = 7.70
- E (eV per atom) = -4.453
- polymorph energy (0 for the lowest one) (eV per atom) = 0.260
- DOS at the Fermi energy (states/eV per atom) = 0.9678
- SG = No. 11